1.
CaTcS2N | PBE-GGA | relaxed

final energy = -31.911 eV/cell
ρ = 4.0 g/cm3
uncorrected formation energy = -0.593 eV/atom
excess energy over the best structure of this formula in the dataset = 0.0 kJ per mole of atoms
D(E_F) = 1.49 states/eV per cell
space-group type = P4/mmm

abc: 4.884 4.884 3.764
angles: 90.00 90.00 90.00
Atoms (fractional coordinates):
Ca 0.000 0.000 0.000
Tc 0.500 0.500 0.500
S 0.000 0.500 0.500
S 0.500 0.000 0.500
N 0.500 0.500 0.000


2.
CaTcS2N | PBE-GGA | relaxed

final energy = -22.984 eV/cell
ρ = 3.0 g/cm3
uncorrected formation energy = 1.193 eV/atom
excess energy over the best structure of this formula in the dataset = 172.3 kJ per mole of atoms
D(E_F) = 2.89 states/eV per cell
space-group type = P4/mmm

abc: 5.209 5.209 4.397
angles: 90.00 90.00 90.00
Atoms (fractional coordinates):
Ca 0.000 0.000 0.000
Tc 0.500 0.500 0.500
S 0.000 0.500 0.000
S 0.500 0.000 0.000
N 0.000 0.000 0.500


3.
CaTcSN2 | PBE-GGA | relaxed

final energy = -34.846 eV/cell
ρ = 4.2 g/cm3
uncorrected formation energy = -0.340 eV/atom
excess energy over the best structure of this formula in the dataset = 0.0 kJ per mole of atoms
D(E_F) = 3.66 states/eV per cell
space-group type = P4/mmm

abc: 3.885 3.885 5.133
angles: 90.00 90.00 90.00
Atoms (fractional coordinates):
Ca 0.000 0.000 0.000
Tc 0.500 0.500 0.500
S 0.500 0.500 0.000
N 0.000 0.500 0.500
N 0.500 0.000 0.500


4.
CaTcSN2 | PBE-GGA | relaxed

final energy = -23.929 eV/cell
ρ = 3.1 g/cm3
uncorrected formation energy = 1.843 eV/atom
excess energy over the best structure of this formula in the dataset = 210.7 kJ per mole of atoms
D(E_F) = 3.47 states/eV per cell
space-group type = P4/mmm

abc: 4.397 4.397 5.565
angles: 90.00 90.00 90.00
Atoms (fractional coordinates):
Ca 0.000 0.000 0.000
Tc 0.500 0.500 0.500
S 0.000 0.000 0.500
N 0.000 0.500 0.000
N 0.500 0.000 0.000


5.
CaTe2SN | PBE-GGA | relaxed

final energy = -15.663 eV/cell
ρ = 3.7 g/cm3
uncorrected formation energy = 1.015 eV/atom
excess energy over the best structure of this formula in the dataset = 80.8 kJ per mole of atoms
D(E_F) = 4.59 states/eV per cell
space-group type = P4/mmm

abc: 5.901 5.901 4.398
angles: 90.00 90.00 90.00
Atoms (fractional coordinates):
Ca 0.000 0.000 0.000
Te 0.000 0.500 0.000
Te 0.500 0.000 0.000
S 0.500 0.500 0.500
N 0.000 0.000 0.500


6.
CaTeSN2 | PBE-GGA | relaxed

final energy = -19.352 eV/cell
ρ = 3.3 g/cm3
uncorrected formation energy = 1.314 eV/atom
excess energy over the best structure of this formula in the dataset = 92.8 kJ per mole of atoms
D(E_F) = 3.63 states/eV per cell
space-group type = P4/mmm

abc: 4.497 4.497 5.692
angles: 90.00 90.00 90.00
Atoms (fractional coordinates):
Ca 0.000 0.000 0.000
Te 0.500 0.500 0.500
S 0.000 0.000 0.500
N 0.000 0.500 0.000
N 0.500 0.000 0.000


7.
CaTe2SN | PBE-GGA | relaxed

final energy = -19.851 eV/cell
ρ = 4.9 g/cm3
uncorrected formation energy = 0.177 eV/atom
excess energy over the best structure of this formula in the dataset = 0.0 kJ per mole of atoms
D(E_F) = 2.47 states/eV per cell
space-group type = P4/mmm

abc: 5.806 5.806 3.433
angles: 90.00 90.00 90.00
Atoms (fractional coordinates):
Ca 0.000 0.000 0.000
Te 0.000 0.500 0.500
Te 0.500 0.000 0.500
S 0.500 0.500 0.500
N 0.500 0.500 0.000


8.
CaTeSN2 | PBE-GGA | relaxed

final energy = -20.475 eV/cell
ρ = 4.2 g/cm3
uncorrected formation energy = 1.089 eV/atom
excess energy over the best structure of this formula in the dataset = 71.1 kJ per mole of atoms
D(E_F) = 2.70 states/eV per cell
space-group type = P4/mmm

abc: 4.122 4.122 5.353
angles: 90.00 90.00 90.00
Atoms (fractional coordinates):
Ca 0.000 0.000 0.000
Te 0.500 0.500 0.000
S 0.500 0.500 0.500
N 0.000 0.500 0.500
N 0.500 0.000 0.500


9.
CaTeSN2 | PBE-GGA | relaxed

final energy = -24.161 eV/cell
ρ = 4.3 g/cm3
uncorrected formation energy = 0.352 eV/atom
excess energy over the best structure of this formula in the dataset = 0.0 kJ per mole of atoms
D(E_F) = 1.70 states/eV per cell
space-group type = P4/mmm

abc: 4.045 4.045 5.338
angles: 90.00 90.00 90.00
Atoms (fractional coordinates):
Ca 0.000 0.000 0.000
Te 0.500 0.500 0.500
S 0.500 0.500 0.000
N 0.000 0.500 0.500
N 0.500 0.000 0.500


10.
CaTlS2N | PBE-GGA | relaxed

final energy = -19.584 eV/cell
ρ = 4.5 g/cm3
uncorrected formation energy = 0.273 eV/atom
excess energy over the best structure of this formula in the dataset = 0.0 kJ per mole of atoms
D(E_F) = 2.26 states/eV per cell
space-group type = P4/mmm

abc: 5.263 5.263 4.292
angles: 90.00 90.00 90.00
Atoms (fractional coordinates):
Ca 0.000 0.000 0.000
Tl 0.500 0.500 0.500
S 0.000 0.500 0.500
S 0.500 0.000 0.500
N 0.500 0.500 0.000


11.
CaTlS2N | PBE-GGA | relaxed

final energy = -19.040 eV/cell
ρ = 3.8 g/cm3
uncorrected formation energy = 0.382 eV/atom
excess energy over the best structure of this formula in the dataset = 10.5 kJ per mole of atoms
D(E_F) = 3.33 states/eV per cell
space-group type = P4/mmm

abc: 5.418 5.418 4.759
angles: 90.00 90.00 90.00
Atoms (fractional coordinates):
Ca 0.000 0.000 0.000
Tl 0.500 0.500 0.500
S 0.000 0.500 0.000
S 0.500 0.000 0.000
N 0.000 0.000 0.500


12.
CaTlSN2 | PBE-GGA | relaxed

final energy = -20.172 eV/cell
ρ = 4.1 g/cm3
uncorrected formation energy = 0.995 eV/atom
excess energy over the best structure of this formula in the dataset = 12.4 kJ per mole of atoms
D(E_F) = 2.92 states/eV per cell
space-group type = P4/mmm

abc: 4.722 4.722 5.522
angles: 90.00 90.00 90.00
Atoms (fractional coordinates):
Ca 0.000 0.000 0.000
Tl 0.500 0.500 0.500
S 0.000 0.000 0.500
N 0.000 0.500 0.000
N 0.500 0.000 0.000


13.
CaTlSN2 | PBE-GGA | relaxed

final energy = -20.817 eV/cell
ρ = 4.9 g/cm3
uncorrected formation energy = 0.866 eV/atom
excess energy over the best structure of this formula in the dataset = 0.0 kJ per mole of atoms
D(E_F) = 3.13 states/eV per cell
space-group type = P4/mmm

abc: 4.316 4.316 5.565
angles: 90.00 90.00 90.00
Atoms (fractional coordinates):
Ca 0.000 0.000 0.000
Tl 0.500 0.500 0.500
S 0.500 0.500 0.000
N 0.000 0.500 0.500
N 0.500 0.000 0.500


14.
CaVSN2 | PBE-GGA | relaxed

final energy = -24.967 eV/cell
ρ = 2.5 g/cm3
uncorrected formation energy = 1.386 eV/atom
excess energy over the best structure of this formula in the dataset = 192.6 kJ per mole of atoms
D(E_F) = 4.27 states/eV per cell
space-group type = P4/mmm

abc: 4.351 4.351 5.352
angles: 90.00 90.00 90.00
Atoms (fractional coordinates):
Ca 0.000 0.000 0.000
V 0.500 0.500 0.500
S 0.000 0.000 0.500
N 0.000 0.500 0.000
N 0.500 0.000 0.000


15.
CaVSN2 | PBE-GGA | relaxed

final energy = -34.947 eV/cell
ρ = 3.5 g/cm3
uncorrected formation energy = -0.610 eV/atom
excess energy over the best structure of this formula in the dataset = 0.0 kJ per mole of atoms
D(E_F) = 1.52 states/eV per cell
space-group type = P4/mmm

abc: 3.832 3.832 4.941
angles: 90.00 90.00 90.00
Atoms (fractional coordinates):
Ca 0.000 0.000 0.000
V 0.500 0.500 0.500
S 0.500 0.500 0.000
N 0.000 0.500 0.500
N 0.500 0.000 0.500